[1]
DFT (PBE) results for a relaxed LiErAgIr crystal.

Cell lengths 4.689, 4.689, 4.689 Å; angles 60.00, 60.00, 60.00 degrees
Element x y z (fractional)
1 Li 0.000 0.000 0.000
2 Er 0.500 0.500 0.500
3 Ag 0.750 0.750 0.750
4 Ir 0.250 0.250 0.250

Output
DOS(E_F): 0.90 states/eV per cell
total energy: -4.904 eV/atom
total magnetization: 0.000 Bohr magnetons per cell
space group: F-43m

[2]
DFT (PBE) results for a relaxed Hf2HgH crystal.

Cell lengths 7.511, 7.511, 7.511 Å; angles 25.26, 25.26, 25.26 degrees
Element x y z (fractional)
1 Hf 0.000 0.000 0.000
2 Hf 0.221 0.221 0.221
3 Hg 0.777 0.777 0.777
4 H 0.611 0.611 0.611

Output
DOS(E_F): 1.60 states/eV per cell
total energy: -6.021 eV/atom
total magnetization: 0.000 Bohr magnetons per cell
offset from the most stable computed form: 57.2 meV per atom
space group: R3m

[3]
DFT (PBE) results for a relaxed TaAsOs2 crystal.

Cell lengths 6.915, 6.915, 6.915 Å; angles 131.74, 131.74, 70.64 degrees
Element x y z (fractional)
1 Ta 0.000 0.000 0.000
2 Ta 0.750 0.250 0.500
3 As 0.250 0.750 0.500
4 As 0.500 0.500 0.000
5 Os 0.146 0.625 0.021
6 Os 0.375 0.396 0.521
7 Os 0.604 0.125 0.979
8 Os 0.875 0.854 0.479

Output
DOS(E_F): 4.99 states/eV per cell
total energy: -8.935 eV/atom
total magnetization: 0.000 Bohr magnetons per cell
space group: I-42d